Entry from OQMD via LeMat-Bulk: crystalline Y3ErSb4 at its relaxed geometry (PBE-GGA).

```
data_Y3ErSb4
_cell_length_a 6.192
_cell_length_b 6.192
_cell_length_c 6.192
_cell_angle_alpha 90.00
_cell_angle_beta 90.00
_cell_angle_gamma 90.00
_space_group_name_H-M_alt 'P 1'
_space_group_IT_number 1
loop_
_space_group_symop_operation_xyz
'x,y,z'
loop_
_atom_site_label
_atom_site_type_symbol
_atom_site_fract_x
_atom_site_fract_y
_atom_site_fract_z
_atom_site_occupancy
Y1 Y 0.000 0.000 0.500 1
Y2 Y 0.000 0.500 0.000 1
Y3 Y 0.500 0.000 0.000 1
Er1 Er 0.500 0.500 0.500 1
Sb1 Sb 0.000 0.000 0.000 1
Sb2 Sb 0.000 0.500 0.500 1
Sb3 Sb 0.500 0.000 0.500 1
Sb4 Sb 0.500 0.500 0.000 1
```

Computed properties:
E: -49.6 eV for the cell shown

---

Entry from OQMD via LeMat-Bulk: crystalline GaPd2 at its relaxed geometry (PBE-GGA).

```
data_GaPd2
_cell_length_a 5.271
_cell_length_b 5.271
_cell_length_c 5.271
_cell_angle_alpha 60.00
_cell_angle_beta 60.00
_cell_angle_gamma 60.00
_space_group_name_H-M_alt 'P 1'
_space_group_IT_number 1
loop_
_space_group_symop_operation_xyz
'x,y,z'
loop_
_atom_site_label
_atom_site_type_symbol
_atom_site_fract_x
_atom_site_fract_y
_atom_site_fract_z
_atom_site_occupancy
Ga1 Ga 0.125 0.125 0.125 1
Ga2 Ga 0.875 0.875 0.875 1
Pd1 Pd 0.000 0.500 0.500 1
Pd2 Pd 0.500 0.000 0.500 1
Pd3 Pd 0.500 0.500 0.000 1
Pd4 Pd 0.500 0.500 0.500 1
```

Computed properties:
E: -27.3 eV for the cell shown

---

Entry from OQMD via LeMat-Bulk: crystalline CdFeCuSn at its relaxed geometry (PBE-GGA).

```
data_CdFeCuSn
_cell_length_a 4.535
_cell_length_b 4.535
_cell_length_c 4.535
_cell_angle_alpha 60.00
_cell_angle_beta 60.00
_cell_angle_gamma 60.00
_space_group_name_H-M_alt 'P 1'
_space_group_IT_number 1
loop_
_space_group_symop_operation_xyz
'x,y,z'
loop_
_atom_site_label
_atom_site_type_symbol
_atom_site_fract_x
_atom_site_fract_y
_atom_site_fract_z
_atom_site_occupancy
Cd1 Cd 0.000 0.000 0.000 1
Fe1 Fe 0.250 0.250 0.250 1
Cu1 Cu 0.750 0.750 0.750 1
Sn1 Sn 0.500 0.500 0.500 1
```

Computed properties:
relative energy among the computed polymorphs: 0.000 eV/atom

---

Entry from OQMD via LeMat-Bulk: crystalline Ge5Au4 at its relaxed geometry (PBE-GGA).

```
data_Ge5Au4
_cell_length_a 5.479
_cell_length_b 5.479
_cell_length_c 7.446
_cell_angle_alpha 90.00
_cell_angle_beta 90.00
_cell_angle_gamma 120.00
_space_group_name_H-M_alt 'P 1'
_space_group_IT_number 1
loop_
_space_group_symop_operation_xyz
'x,y,z'
loop_
_atom_site_label
_atom_site_type_symbol
_atom_site_fract_x
_atom_site_fract_y
_atom_site_fract_z
_atom_site_occupancy
Ge1 Ge 0.000 0.000 0.000 1
Ge2 Ge 0.333 0.667 0.323 1
Ge3 Ge 0.333 0.667 0.677 1
Ge4 Ge 0.667 0.333 0.323 1
Ge5 Ge 0.667 0.333 0.677 1
Au1 Au 0.000 0.000 0.500 1
Au2 Au 0.000 0.500 0.000 1
Au3 Au 0.500 0.000 0.000 1
Au4 Au 0.500 0.500 0.000 1
```

Computed properties:
E: -32.8 eV for the cell shown

---

Entry from OQMD via LeMat-Bulk: crystalline BeMoOs2 at its relaxed geometry (PBE-GGA).

```
data_BeMoOs2
_cell_length_a 4.266
_cell_length_b 4.266
_cell_length_c 4.266
_cell_angle_alpha 60.00
_cell_angle_beta 60.00
_cell_angle_gamma 60.00
_space_group_name_H-M_alt 'P 1'
_space_group_IT_number 1
loop_
_space_group_symop_operation_xyz
'x,y,z'
loop_
_atom_site_label
_atom_site_type_symbol
_atom_site_fract_x
_atom_site_fract_y
_atom_site_fract_z
_atom_site_occupancy
Be1 Be 0.000 0.000 0.000 1
Mo1 Mo 0.250 0.250 0.250 1
Os1 Os 0.500 0.500 0.500 1
Os2 Os 0.750 0.750 0.750 1
```

Computed properties:
E: -35.9 eV for the cell shown

---

Entry from OQMD via LeMat-Bulk: crystalline SmErIr at its relaxed geometry (PBE-GGA).

```
data_SmErIr
_cell_length_a 4.715
_cell_length_b 4.715
_cell_length_c 4.715
_cell_angle_alpha 60.00
_cell_angle_beta 60.00
_cell_angle_gamma 60.00
_space_group_name_H-M_alt 'P 1'
_space_group_IT_number 1
loop_
_space_group_symop_operation_xyz
'x,y,z'
loop_
_atom_site_label
_atom_site_type_symbol
_atom_site_fract_x
_atom_site_fract_y
_atom_site_fract_z
_atom_site_occupancy
Sm1 Sm 0.000 0.000 0.000 1
Er1 Er 0.750 0.750 0.750 1
Ir1 Ir 0.500 0.500 0.500 1
```

Computed properties:
formation enthalpy at 0 K: 139 meV per atom
relative energy among the computed polymorphs: 0.854 eV/atom

---

Entry from OQMD via LeMat-Bulk: crystalline YGaFeW at its relaxed geometry (PBE-GGA).

```
data_YGaFeW
_cell_length_a 4.590
_cell_length_b 4.590
_cell_length_c 4.590
_cell_angle_alpha 60.00
_cell_angle_beta 60.00
_cell_angle_gamma 60.00
_space_group_name_H-M_alt 'P 1'
_space_group_IT_number 1
loop_
_space_group_symop_operation_xyz
'x,y,z'
loop_
_atom_site_label
_atom_site_type_symbol
_atom_site_fract_x
_atom_site_fract_y
_atom_site_fract_z
_atom_site_occupancy
Y1 Y 0.000 0.000 0.000 1
Ga1 Ga 0.500 0.500 0.500 1
Fe1 Fe 0.750 0.750 0.750 1
W1 W 0.250 0.250 0.250 1
```

Computed properties:
relative energy among the computed polymorphs: 0.051 eV/atom

---

Entry from OQMD via LeMat-Bulk: crystalline AlFe2W at its relaxed geometry (PBE-GGA).

```
data_AlFe2W
_cell_length_a 4.112
_cell_length_b 4.112
_cell_length_c 7.189
_cell_angle_alpha 90.00
_cell_angle_beta 90.00
_cell_angle_gamma 120.00
_space_group_name_H-M_alt 'P 1'
_space_group_IT_number 1
loop_
_space_group_symop_operation_xyz
'x,y,z'
loop_
_atom_site_label
_atom_site_type_symbol
_atom_site_fract_x
_atom_site_fract_y
_atom_site_fract_z
_atom_site_occupancy
Al1 Al 0.333 0.667 0.250 1
Al2 Al 0.667 0.333 0.750 1
Fe1 Fe 0.333 0.667 0.596 1
Fe2 Fe 0.333 0.667 0.904 1
Fe3 Fe 0.667 0.333 0.096 1
Fe4 Fe 0.667 0.333 0.404 1
W1 W 0.000 0.000 0.000 1
W2 W 0.000 0.000 0.500 1
```

Computed properties:
E: -66.2 eV for the cell shown

---

Entry from OQMD via LeMat-Bulk: crystalline YIn2Co at its relaxed geometry (PBE-GGA).

```
data_YIn2Co
_cell_length_a 4.901
_cell_length_b 4.901
_cell_length_c 4.901
_cell_angle_alpha 60.00
_cell_angle_beta 60.00
_cell_angle_gamma 60.00
_space_group_name_H-M_alt 'P 1'
_space_group_IT_number 1
loop_
_space_group_symop_operation_xyz
'x,y,z'
loop_
_atom_site_label
_atom_site_type_symbol
_atom_site_fract_x
_atom_site_fract_y
_atom_site_fract_z
_atom_site_occupancy
Y1 Y 0.000 0.000 0.000 1
In1 In 0.250 0.250 0.250 1
In2 In 0.500 0.500 0.500 1
Co1 Co 0.750 0.750 0.750 1
```

Computed properties:
E: -19.1 eV for the cell shown

---

Entry from OQMD via LeMat-Bulk: crystalline Dy2ErIn3Ni2Ag at its relaxed geometry (PBE-GGA).

```
data_Dy2ErIn3Ni2Ag
_cell_length_a 3.869
_cell_length_b 7.555
_cell_length_c 7.555
_cell_angle_alpha 119.98
_cell_angle_beta 90.00
_cell_angle_gamma 90.00
_space_group_name_H-M_alt 'P 1'
_space_group_IT_number 1
loop_
_space_group_symop_operation_xyz
'x,y,z'
loop_
_atom_site_label
_atom_site_type_symbol
_atom_site_fract_x
_atom_site_fract_y
_atom_site_fract_z
_atom_site_occupancy
Dy1 Dy 0.000 0.206 0.794 1
Dy2 Dy 0.000 0.794 0.206 1
Er1 Er 0.000 0.381 0.381 1
In1 In 0.500 0.066 0.066 1
In2 In 0.500 0.521 0.793 1
In3 In 0.500 0.793 0.521 1
Ni1 Ni 0.500 0.128 0.460 1
Ni2 Ni 0.500 0.460 0.128 1
Ag1 Ag 0.000 0.793 0.793 1
```

Computed properties:
E: -40.1 eV for the cell shown

---

Entry from OQMD via LeMat-Bulk: crystalline Tb3ErPt4 at its relaxed geometry (PBE-GGA).

```
data_Tb3ErPt4
_cell_length_a 5.573
_cell_length_b 4.508
_cell_length_c 7.035
_cell_angle_alpha 90.00
_cell_angle_beta 90.25
_cell_angle_gamma 90.00
_space_group_name_H-M_alt 'P 1'
_space_group_IT_number 1
loop_
_space_group_symop_operation_xyz
'x,y,z'
loop_
_atom_site_label
_atom_site_type_symbol
_atom_site_fract_x
_atom_site_fract_y
_atom_site_fract_z
_atom_site_occupancy
Tb1 Tb 0.000 0.000 0.000 1
Tb2 Tb 0.220 0.000 0.498 1
Tb3 Tb 0.501 0.500 0.863 1
Er1 Er 0.720 0.500 0.363 1
Pt1 Pt 0.014 0.500 0.724 1
Pt2 Pt 0.205 0.500 0.227 1
Pt3 Pt 0.517 0.000 0.139 1
Pt4 Pt 0.706 0.000 0.633 1
```

Computed properties:
formation enthalpy at 0 K: -1282 meV per atom

---

Entry from OQMD via LeMat-Bulk: crystalline Dy3YC2S2 at its relaxed geometry (PBE-GGA).

```
data_Dy3YC2S2
_cell_length_a 3.707
_cell_length_b 3.707
_cell_length_c 12.912
_cell_angle_alpha 90.00
_cell_angle_beta 90.00
_cell_angle_gamma 120.00
_space_group_name_H-M_alt 'P 1'
_space_group_IT_number 1
loop_
_space_group_symop_operation_xyz
'x,y,z'
loop_
_atom_site_label
_atom_site_type_symbol
_atom_site_fract_x
_atom_site_fract_y
_atom_site_fract_z
_atom_site_occupancy
Dy1 Dy 0.000 0.000 0.000 1
Dy2 Dy 0.000 0.000 0.292 1
Dy3 Dy 0.333 0.667 0.792 1
Y1 Y 0.333 0.667 0.500 1
C1 C 0.667 0.333 0.395 1
C2 C 0.667 0.333 0.896 1
S1 S 0.000 0.000 0.646 1
S2 S 0.333 0.667 0.146 1
```

Computed properties:
E: -57.0 eV for the cell shown

---

Number 1: V 237.40 Å³ per cell. Number 2: V 103.58 Å³ per cell. Number 3: V 65.97 Å³ per cell. Number 4: V 193.56 Å³ per cell. Number 5: V 54.90 Å³ per cell. Number 6: V 74.10 Å³ per cell. Number 7: V 68.37 Å³ per cell. Number 8: V 105.27 Å³ per cell. Number 9: V 83.24 Å³ per cell. Number 10: V 191.27 Å³ per cell. Number 11: V 176.75 Å³ per cell. Number 12: V 153.66 Å³ per cell.